Cd2InSn2 | PBE | optimized geometry

Values from the calculation:
- Energy of formation from the pure elements: 0.06 eV/atom
- D(E_F): 2.0 states/eV/cell
- SG: C2/m, No. 12

Cell lengths 5.4233, 5.4233, 7.5069 Å; angles 124.22, 124.22, 48.67 degrees
Sites, in units of the cell vectors:
Cd  0.1045  0.1045  0.3079
Cd  0.8955  0.8955  0.6921
In  0.5000  0.5000  0.5000
Sn  0.2985  0.2985  0.8960
Sn  0.7015  0.7015  0.1040

---

AcPu2Tl3Te6 | PBE | optimized geometry

Values from the calculation:
- Final energy: -5.785 eV/atom
- D(E_F): 26.7 states/eV/cell
- SG: C2/m, No. 12

Cell lengths 7.9852, 7.9852, 8.5661 Å; angles 98.95, 98.95, 119.95 degrees
Sites, in units of the cell vectors:
Ac  0.0000  0.0000  0.0000
Pu  0.3326  0.6674  0.0000
Pu  0.6674  0.3326  0.0000
Tl  0.1630  0.8370  0.5000
Tl  0.5000  0.5000  0.5000
Tl  0.8370  0.1630  0.5000
Te  0.0739  0.4239  0.2205
Te  0.2785  0.2785  0.7837
Te  0.4239  0.0739  0.2205
Te  0.5761  0.9261  0.7795
Te  0.7215  0.7215  0.2163
Te  0.9261  0.5761  0.7795

---

Ni2TeIr | PBE | optimized geometry

Values from the calculation:
- Final energy: -5.608 eV/atom
- D(E_F): 4.0 states/eV/cell
- SG: Fm-3m, No. 225

Cell lengths 4.3459, 4.3459, 4.3459 Å; angles 60.00, 60.00, 60.00 degrees
Sites, in units of the cell vectors:
Ni  0.2500  0.2500  0.2500
Ni  0.7500  0.7500  0.7500
Te  0.0000  0.0000  0.0000
Ir  0.5000  0.5000  0.5000

---

DyHo2Sc2 | PBE | optimized geometry

Values from the calculation:
- Energy of formation from the pure elements: 0.04 eV/atom
- D(E_F): 31.1 states/eV/cell
- SG: P2_1/c, No. 14

Cell lengths 13.9465, 6.8937, 5.9726 Å; angles 90.00, 98.12, 90.00 degrees
Sites, in units of the cell vectors:
Dy  0.1963  0.1233  0.1500
Dy  0.1963  0.3767  0.6500
Dy  0.8037  0.6233  0.3500
Dy  0.8037  0.8767  0.8500
Ho  0.1967  0.6268  0.1453
Ho  0.1967  0.8732  0.6453
Ho  0.4013  0.1243  0.8810
Ho  0.4013  0.3757  0.3810
Ho  0.5987  0.6243  0.6190
Ho  0.5987  0.8757  0.1190
Ho  0.8033  0.1268  0.3547
Ho  0.8033  0.3732  0.8547
Sc  0.0002  0.1249  0.7502
Sc  0.0002  0.3751  0.2502
Sc  0.9998  0.6249  0.7498
Sc  0.9998  0.8751  0.2498
Sc  0.4004  0.6259  0.8854
Sc  0.4004  0.8741  0.3854
Sc  0.5996  0.1259  0.6146
Sc  0.5996  0.3741  0.1146

---

FeSiOs2 | PBE | optimized geometry

Values from the calculation:
- Final energy: -8.909 eV/atom
- D(E_F): 3.1 states/eV/cell
- SG: Pmmm, No. 47

Cell lengths 2.8424, 4.1540, 4.5458 Å; angles 90.00, 90.00, 90.00 degrees
Sites, in units of the cell vectors:
Fe  0.0000  0.0000  0.0000
Si  0.5000  0.0000  0.5000
Os  0.0000  0.5000  0.5000
Os  0.5000  0.5000  0.0000

---

KAgPt2 | PBE | optimized geometry

Values from the calculation:
- Energy of formation from the pure elements: 0.25 eV/atom
- D(E_F): 4.4 states/eV/cell
- SG: I-42d, No. 122

Cell lengths 10.0922, 10.0922, 10.0922 Å; angles 152.05, 152.05, 39.94 degrees
Sites, in units of the cell vectors:
K  0.0000  0.0000  0.0000
K  0.7500  0.2500  0.5000
Ag  0.2500  0.7500  0.5000
Ag  0.5000  0.5000  0.0000
Pt  0.3136  0.6250  0.1886
Pt  0.3750  0.5636  0.6886
Pt  0.4364  0.1250  0.8114
Pt  0.8750  0.6864  0.3114

---

ZnNiBr2 | PBE | optimized geometry

Values from the calculation:
- Final energy: -2.736 eV/atom
- D(E_F): 1.3 states/eV/cell
- SG: P2/m, No. 10

Cell lengths 4.7975, 3.5854, 7.3456 Å; angles 90.00, 108.78, 90.00 degrees
Sites, in units of the cell vectors:
Zn  0.0000  0.0000  0.0000
Ni  0.5000  0.0000  0.0000
Br  0.3782  0.5000  0.7562
Br  0.6218  0.5000  0.2438

---

La2Al3Pt | PBE | optimized geometry

Values from the calculation:
- Energy of formation from the pure elements: -0.74 eV/atom
- D(E_F): 2.8 states/eV/cell
- SG: R-3m, No. 166

Cell lengths 5.6060, 5.6060, 5.6060 Å; angles 61.12, 61.12, 61.12 degrees
Sites, in units of the cell vectors:
La  0.1238  0.1238  0.1238
La  0.8762  0.8762  0.8762
Al  0.0000  0.5000  0.5000
Al  0.5000  0.0000  0.5000
Al  0.5000  0.5000  0.0000
Pt  0.5000  0.5000  0.5000

---

ZnGe2Te | PBE | optimized geometry

Values from the calculation:
- Final energy: -3.055 eV/atom
- D(E_F): 2.3 states/eV/cell
- SG: Fm-3m, No. 225

Cell lengths 5.0029, 5.0029, 5.0029 Å; angles 60.00, 60.00, 60.00 degrees
Sites, in units of the cell vectors:
Zn  0.0000  0.0000  0.0000
Ge  0.2500  0.2500  0.2500
Ge  0.7500  0.7500  0.7500
Te  0.5000  0.5000  0.5000

---

KZn3Pt | PBE | optimized geometry

Values from the calculation:
- Energy of formation from the pure elements: -0.29 eV/atom
- D(E_F): 1.6 states/eV/cell
- SG: Pm-3m, No. 221

Cell lengths 4.9479, 4.9479, 4.9479 Å; angles 90.00, 90.00, 90.00 degrees
Sites, in units of the cell vectors:
K  0.0000  0.0000  0.0000
Zn  0.0000  0.5000  0.5000
Zn  0.5000  0.0000  0.5000
Zn  0.5000  0.5000  0.0000
Pt  0.5000  0.5000  0.5000

---

Ba2ReS4 | PBE | optimized geometry

Values from the calculation:
- Final energy: -5.868 eV/atom
- D(E_F): 7.3 states/eV/cell
- SG: P2_1/m, No. 11

Cell lengths 7.2277, 6.6010, 8.7563 Å; angles 90.00, 107.02, 90.00 degrees
Sites, in units of the cell vectors:
Ba  0.2272  0.2500  0.0483
Ba  0.2710  0.2500  0.5734
Ba  0.7290  0.7500  0.4266
Ba  0.7728  0.7500  0.9517
Re  0.2334  0.7500  0.7978
Re  0.7666  0.2500  0.2022
S  0.0023  0.0091  0.2636
S  0.0023  0.4909  0.2636
S  0.3787  0.7500  0.0613
S  0.4185  0.7500  0.6313
S  0.5815  0.2500  0.3687
S  0.6213  0.2500  0.9387
S  0.9977  0.5091  0.7364
S  0.9977  0.9909  0.7364

---

Sr2Tl3In | PBE | optimized geometry

Values from the calculation:
- Energy of formation from the pure elements: -0.35 eV/atom
- D(E_F): 3.2 states/eV/cell
- SG: Cm, No. 8

Cell lengths 6.6402, 6.6402, 8.2243 Å; angles 127.94, 127.94, 45.96 degrees
Sites, in units of the cell vectors:
Sr  0.0000  0.0000  0.0000
Sr  0.0800  0.0800  0.5857
Tl  0.3773  0.3773  0.2068
Tl  0.3785  0.3785  0.6173
Tl  0.7013  0.7013  0.3737
In  0.7067  0.7067  0.9850

---

| no. | total moment (μB/cell) |
| --- | --- |
| 1 | 0.000 |
| 2 | 10.000 |
| 3 | 0.000 |
| 4 | 0.000 |
| 5 | 2.625 |
| 6 | 0.000 |
| 7 | 1.022 |
| 8 | 0.000 |
| 9 | 0.000 |
| 10 | 0.000 |
| 11 | 2.357 |
| 12 | 0.000 |